This record from Alexandria describes a geometry-optimized Pm4SmOs structure. The functional is PBE-GGA.

Fermi-level density of states   8.09 states/eV/f.u.
Energy of formation from the pure elements   2 kJ/mol of formula units
E   -5.8220 eV/atom

a b c (Å): 6.220 9.963 8.107
angles (deg): 118.89 99.98 110.02
Positions (direct):
1 Pm 0.730 0.352 0.183
2 Pm 0.954 0.832 0.183
3 Pm 0.614 0.064 0.336
4 Pm 0.778 0.728 0.664
5 Pm 0.222 0.272 0.336
6 Pm 0.270 0.648 0.817
7 Pm 0.046 0.168 0.817
8 Pm 0.386 0.936 0.664
9 Os 0.248 0.998 0.996
10 Os 0.752 0.002 0.004
11 Sm 0.354 0.604 0.207
12 Sm 0.646 0.396 0.793